# 1
Here is crystalline Sm2Zn7Ni at its relaxed geometry from Alexandria. Energies are from PBE.

Cell and atoms, written as POSCAR:
```
Sm2Zn7Ni
1.0
4.178 0.000 0.000
0.000 4.178 0.000
0.000 0.000 10.517
Sm Zn Ni
2 7 1
Direct
0.000 0.500 0.241
0.500 0.000 0.759
0.000 0.000 0.000
0.000 0.000 0.500
0.000 0.500 0.639
0.000 0.500 0.873
0.500 0.000 0.127
0.500 0.000 0.361
0.500 0.500 0.500
0.500 0.500 0.000
```

Properties
Magnetic moment = 0.00 μB/f.u.
Calculated formation energy = -284 meV/atom
Space group = P-4m2, No. 115
N(E_F) = 8.8 states/eV per cell


# 2
Here is crystalline Sm2Zn2Ni at its relaxed geometry from Alexandria. Energies are from PBE.

Cell and atoms, written as POSCAR:
```
Sm2Zn2Ni
1.0
5.533 -1.953 0.000
5.533 1.953 0.000
-5.132 0.000 10.187
Sm Zn Ni
4 4 2
Direct
0.067 0.067 0.359
0.206 0.206 0.118
0.794 0.794 0.882
0.933 0.933 0.641
0.374 0.374 0.414
0.489 0.489 0.117
0.511 0.511 0.883
0.626 0.626 0.586
0.271 0.271 0.690
0.729 0.729 0.310
```

Properties
Magnetic moment = 0.00 μB/f.u.
Calculated formation energy = -335 meV/atom
Space group = C2/m, No. 12
N(E_F) = 8.0 states/eV per cell


# 3
Here is crystalline SmZn2Ni2 at its relaxed geometry from Alexandria. Energies are from PBE.

Cell and atoms, written as POSCAR:
```
SmZn2Ni2
1.0
-2.042 2.042 10.061
2.042 -2.042 10.061
2.042 2.042 -10.061
Sm Zn Ni
2 4 4
Direct
0.130 0.130 0.000
0.870 0.870 0.000
0.000 0.500 0.500
0.315 0.315 0.000
0.500 0.000 0.500
0.685 0.685 0.000
0.250 0.750 0.500
0.434 0.434 0.000
0.566 0.566 0.000
0.750 0.250 0.500
```

Properties
Magnetic moment = 0.00 μB/f.u.
Calculated formation energy = -326 meV/atom
Space group = I4/mmm, No. 139
N(E_F) = 6.6 states/eV per cell


# 4
Here is crystalline Sm2ZnNi16 at its relaxed geometry from Alexandria. Energies are from PBE.

Cell and atoms, written as POSCAR:
```
Sm2ZnNi16
1.0
4.177 2.411 4.055
-4.177 2.411 4.055
0.000 -4.823 4.055
Sm Zn Ni
2 1 16
Direct
0.000 0.000 0.000
0.314 0.314 0.314
0.565 0.565 0.565
0.003 0.003 0.505
0.003 0.505 0.003
0.157 0.660 0.660
0.315 0.315 0.812
0.315 0.812 0.315
0.365 0.659 0.954
0.365 0.954 0.659
0.505 0.003 0.003
0.659 0.365 0.954
0.659 0.954 0.365
0.660 0.157 0.660
0.660 0.660 0.157
0.761 0.761 0.761
0.812 0.315 0.315
0.954 0.365 0.659
0.954 0.659 0.365
```

Properties
Magnetic moment = 5.42 μB/f.u.
Calculated formation energy = -206 meV/atom
Space group = R3m, No. 160
N(E_F) = 24.6 states/eV per cell


Question: Which formula does entry 2 have?
Answer: Sm2Zn2Ni